[1]
# KRb2NbF6 | Alexandria | GGA-PBE | optimized geometry
data_KRb2NbF6
_chemical_formula_sum 'K6 Rb12 Nb6 F36'
_symmetry_space_group_name_H-M 'R -3 m'
_symmetry_Int_Tables_number 166
_symmetry_space_group_name_Hall '-R 3 2"'
_cell_length_a 6.6411
_cell_length_b 6.6411
_cell_length_c 33.0471
_cell_angle_alpha 90.00
_cell_angle_beta 90.00
_cell_angle_gamma 120.00
loop_
_atom_site_label
_atom_site_type_symbol
_atom_site_fract_x
_atom_site_fract_y
_atom_site_fract_z
K1 K 0.0000 0.0000 0.0961
Rb1 Rb 0.0000 0.0000 0.2354
Rb2 Rb 0.0000 0.0000 0.3644
Nb1 Nb 0.0000 0.0000 0.0000
Nb2 Nb 0.0000 0.0000 0.5000
F1 F 0.0171 0.5086 0.6313
F2 F 0.0527 0.5264 0.2060
# ΔE_f (raw)	-2.71	eV per atom

---

[2]
# KNbTl2F8 | Alexandria | GGA-PBE | optimized geometry
data_KNbTl2F8
_chemical_formula_sum 'K1 Nb1 Tl2 F8'
_symmetry_space_group_name_H-M 'P 1 2/m 1'
_symmetry_Int_Tables_number 10
_symmetry_space_group_name_Hall '-P 2y'
_cell_length_a 5.0103
_cell_length_b 8.0585
_cell_length_c 6.7167
_cell_angle_alpha 90.00
_cell_angle_beta 95.11
_cell_angle_gamma 90.00
loop_
_atom_site_label
_atom_site_type_symbol
_atom_site_fract_x
_atom_site_fract_y
_atom_site_fract_z
K1 K 0.0000 0.0000 0.0000
Nb1 Nb 0.0000 0.5000 0.0000
Tl1 Tl 0.5000 0.2379 0.5000
F1 F 0.1195 0.3252 0.8279
F2 F 0.3389 0.5000 0.1602
F3 F 0.3799 0.0000 0.2810
# ΔE_f (raw)	-2.62	eV per atom